First-principles (PBE) data for crystalline Bi2Te6Pb3 at its relaxed geometry, as listed in Alexandria via LeMat-Bulk.

Values from the calculation:
space-group type = No. 166
total moment = 0.0 μB per formula unit
crystal system = trigonal
ΔE_f (raw) = -328 meV/atom

```
Bi2Te6Pb3
1.0
2.273 1.312 21.890
-2.273 1.312 21.890
0.000 -2.624 21.890
Bi Te Pb
2 6 3
Cartesian
0.000 0.000 3.113
0.000 0.000 62.558
0.000 0.000 9.005
0.000 0.000 20.433
0.000 0.000 27.009
0.000 0.000 38.662
0.000 0.000 45.238
0.000 0.000 56.666
0.000 0.000 14.835
0.000 0.000 32.835
0.000 0.000 50.836
```